The following is a PBE calculation of a relaxed structure of Sc6BeAl3, from Alexandria.

Unit cell a=4.774 b=8.279 c=10.602 alpha=109.15 beta=90.00 gamma=90.00
Sites, in units of the cell vectors:
Sc 0.750 0.325 0.336
Sc 0.750 0.535 0.918
Sc 0.250 0.675 0.664
Sc 0.750 0.861 0.835
Sc 0.250 0.102 0.865
Sc 0.250 0.851 0.319
Sc 0.750 0.149 0.681
Sc 0.750 0.768 0.505
Sc 0.250 0.232 0.495
Sc 0.250 0.465 0.082
Sc 0.750 0.898 0.135
Sc 0.250 0.139 0.165
Al 0.750 0.473 0.624
Al 0.250 0.771 0.968
Al 0.250 0.527 0.376
Al 0.750 0.608 0.223
Al 0.250 0.392 0.777
Al 0.750 0.229 0.032
Be 0.750 0.035 0.402
Be 0.250 0.965 0.598

## Properties
ρ ... 3.0 g/cm³
Space-group type ... P2_1/m, No. 11
Volume ... 396 Å³/cell
E_form ... -0.276 eV per atom